i | A geometry-optimized NaInSCl2 structure, computed with GGA-PBE.

Results
M_tot: 0.00 μB per atom
N(E_F): 2.21 states/eV/cell
crystal system: tetragonal

Lattice parameters (Å, degrees): 5.284 5.284 4.942 90.00 90.00 90.00
Space group P4/mmm (No. 123)
Asymmetric unit:
Na  0.000  0.000  0.000 (multiplicity 1)
In  0.500  0.500  0.500 (multiplicity 1)
S  0.500  0.500  0.000 (multiplicity 1)
Cl  0.000  0.500  0.500 (multiplicity 2)

---

ii | A geometry-optimized NaInSCl2 structure, computed with GGA-PBE.

Results
M_tot: 0.40 μB per atom
N(E_F): 4.11 states/eV/cell
crystal system: tetragonal

Lattice parameters (Å, degrees): 5.268 5.268 5.251 90.00 90.00 90.00
Space group P4/mmm (No. 123)
Asymmetric unit:
Na  0.000  0.000  0.000 (multiplicity 1)
In  0.500  0.500  0.500 (multiplicity 1)
S  0.000  0.000  0.500 (multiplicity 1)
Cl  0.000  0.500  0.000 (multiplicity 2)

---

It is i that is most stable; the runner-up trails by 542 meV per atom.

---

i | A geometry-optimized NbIn2Cl structure, computed with GGA-PBE.

Results
M_tot: 0.00 μB per atom
N(E_F): 11.99 states/eV/cell
crystal system: tetragonal

Lattice parameters (Å, degrees): 7.932 7.932 6.052 90.00 90.00 90.00
Space group I-42d (No. 122)
Asymmetric unit:
Nb  0.000  0.000  0.000 (multiplicity 4)
In  0.242  0.250  0.125 (multiplicity 8)
Cl  0.000  0.000  0.500 (multiplicity 4)

---

ii | A geometry-optimized NbIn2Cl structure, computed with GGA-PBE.

Results
M_tot: 0.05 μB per atom
N(E_F): 9.88 states/eV/cell
crystal system: cubic

Lattice parameters (Å, degrees): 7.196 7.196 7.196 90.00 90.00 90.00
Space group Fm-3m (No. 225)
Asymmetric unit:
Nb  0.000  0.000  0.000 (multiplicity 4)
In  0.250  0.250  0.250 (multiplicity 8)
Cl  0.000  0.000  0.500 (multiplicity 4)

---

It is i that is most stable; the runner-up trails by 107 meV per atom.

---

i | A geometry-optimized NbInCl2 structure, computed with GGA-PBE.

Results
M_tot: 0.82 μB per atom
N(E_F): 7.68 states/eV/cell
crystal system: tetragonal

Lattice parameters (Å, degrees): 5.139 5.139 16.824 90.00 90.00 90.00
Space group I-42d (No. 122)
Asymmetric unit:
Nb  0.000  0.000  0.000 (multiplicity 4)
In  0.000  0.000  0.500 (multiplicity 4)
Cl  0.171  0.250  0.125 (multiplicity 8)

---

ii | A geometry-optimized NbInCl2 structure, computed with GGA-PBE.

Results
M_tot: 0.00 μB per atom
N(E_F): 17.58 states/eV/cell
crystal system: cubic

Lattice parameters (Å, degrees): 6.858 6.858 6.858 90.00 90.00 90.00
Space group Fm-3m (No. 225)
Asymmetric unit:
Nb  0.000  0.000  0.000 (multiplicity 4)
In  0.000  0.000  0.500 (multiplicity 4)
Cl  0.250  0.250  0.250 (multiplicity 8)

---

iii | A geometry-optimized NbInCl2 structure, computed with GGA-PBE.

Results
M_tot: 0.00 μB per atom
N(E_F): 5.20 states/eV/cell
crystal system: trigonal

Lattice parameters (Å, degrees): 3.2072 3.2072 34.5613 90.00 90.00 120.00
Space group R-3m (No. 166, hexagonal axes)
Asymmetric unit:
Nb  0.0000  0.0000  0.0000 (multiplicity 3)
In  0.0000  0.0000  0.5000 (multiplicity 3)
Cl  0.0000  0.0000  0.3845 (multiplicity 6)

---

It is iii that is most stable; the runner-up trails by 656 meV per atom.

---

i | A geometry-optimized Nb2InCl structure, computed with GGA-PBE.

Results
M_tot: 0.00 μB per atom
N(E_F): 1.34 states/eV/cell
crystal system: cubic

Lattice parameters (Å, degrees): 6.693 6.693 6.693 90.00 90.00 90.00
Space group Fm-3m (No. 225)
Asymmetric unit:
Nb  0.250  0.250  0.250 (multiplicity 8)
In  0.000  0.000  0.000 (multiplicity 4)
Cl  0.000  0.000  0.500 (multiplicity 4)

---

ii | A geometry-optimized Nb2InCl structure, computed with GGA-PBE.

Results
M_tot: 0.00 μB per atom
N(E_F): 10.36 states/eV/cell
crystal system: tetragonal

Lattice parameters (Å, degrees): 4.014 4.014 20.821 90.00 90.00 90.00
Space group I-42d (No. 122)
Asymmetric unit:
Nb  0.241  0.250  0.125 (multiplicity 8)
In  0.000  0.000  0.000 (multiplicity 4)
Cl  0.000  0.000  0.500 (multiplicity 4)

---

It is i that is most stable; the runner-up trails by 42 meV per atom.

---

i | A geometry-optimized Nd2InCl structure, computed with GGA-PBE.

Results
M_tot: 0.00 μB per atom
N(E_F): 3.49 states/eV/cell
crystal system: tetragonal

Lattice parameters (Å, degrees): 3.530 3.530 8.505 90.00 90.00 90.00
Space group P4/mmm (No. 123)
Asymmetric unit:
Nd  0.000  0.000  0.248 (multiplicity 2)
In  0.500  0.500  0.500 (multiplicity 1)
Cl  0.500  0.500  0.000 (multiplicity 1)

---

ii | A geometry-optimized Nd2InCl structure, computed with GGA-PBE.

Results
M_tot: 0.00 μB per atom
N(E_F): 7.95 states/eV/cell
crystal system: trigonal

Lattice parameters (Å, degrees): 3.7428 3.7428 27.6646 90.00 90.00 120.00
Space group R3m (No. 160, hexagonal axes)
Asymmetric unit:
Nd  0.0000  0.0000  0.0000 (multiplicity 3)
Nd  0.0000  0.0000  0.1561 (multiplicity 3)
In  0.0000  0.0000  0.5782 (multiplicity 3)
Cl  0.0000  0.0000  0.7449 (multiplicity 3)

---

It is ii that is most stable; the runner-up trails by 10 meV per atom.

---

i | A geometry-optimized In3NiCl structure, computed with GGA-PBE.

Results
M_tot: 0.00 μB per atom
N(E_F): 0.29 states/eV/cell
crystal system: cubic

Lattice parameters (Å, degrees): 5.009 5.009 5.009 90.00 90.00 90.00
Space group Pm-3m (No. 221)
Asymmetric unit:
In  0.000  0.000  0.500 (multiplicity 3)
Ni  0.000  0.000  0.000 (multiplicity 1)
Cl  0.500  0.500  0.500 (multiplicity 1)

---

ii | A geometry-optimized In3NiCl structure, computed with GGA-PBE.

Results
M_tot: 0.10 μB per atom
N(E_F): 9.73 states/eV/cell
crystal system: cubic

Lattice parameters (Å, degrees): 5.628 5.628 5.628 90.00 90.00 90.00
Space group Pm-3m (No. 221)
Asymmetric unit:
In  0.000  0.000  0.500 (multiplicity 3)
Ni  0.500  0.500  0.500 (multiplicity 1)
Cl  0.000  0.000  0.000 (multiplicity 1)

---

It is i that is most stable; the runner-up trails by 1055 meV per atom.

---

i | A geometry-optimized InNiP2Cl structure, computed with GGA-PBE.

Results
M_tot: 0.15 μB per atom
N(E_F): 4.67 states/eV/cell
crystal system: tetragonal

Lattice parameters (Å, degrees): 4.419 4.419 4.874 90.00 90.00 90.00
Space group P4/mmm (No. 123)
Asymmetric unit:
In  0.000  0.000  0.000 (multiplicity 1)
Ni  0.500  0.500  0.500 (multiplicity 1)
P  0.000  0.500  0.500 (multiplicity 2)
Cl  0.500  0.500  0.000 (multiplicity 1)

---

ii | A geometry-optimized InNiP2Cl structure, computed with GGA-PBE.

Results
M_tot: 0.00 μB per atom
N(E_F): 11.03 states/eV/cell
crystal system: tetragonal

Lattice parameters (Å, degrees): 5.096 5.096 5.075 90.00 90.00 90.00
Space group P4/mmm (No. 123)
Asymmetric unit:
In  0.000  0.000  0.000 (multiplicity 1)
Ni  0.500  0.500  0.500 (multiplicity 1)
P  0.000  0.500  0.000 (multiplicity 2)
Cl  0.000  0.000  0.500 (multiplicity 1)

---

It is i that is most stable; the runner-up trails by 929 meV per atom.

---

i | A geometry-optimized InNiSCl2 structure, computed with GGA-PBE.

Results
M_tot: 0.00 μB per atom
N(E_F): 3.91 states/eV/cell
crystal system: tetragonal

Lattice parameters (Å, degrees): 4.602 4.602 4.773 90.00 90.00 90.00
Space group P4/mmm (No. 123)
Asymmetric unit:
In  0.000  0.000  0.000 (multiplicity 1)
Ni  0.500  0.500  0.500 (multiplicity 1)
S  0.500  0.500  0.000 (multiplicity 1)
Cl  0.000  0.500  0.500 (multiplicity 2)

---

ii | A geometry-optimized InNiSCl2 structure, computed with GGA-PBE.

Results
M_tot: 0.24 μB per atom
N(E_F): 5.35 states/eV/cell
crystal system: tetragonal

Lattice parameters (Å, degrees): 5.065 5.065 5.091 90.00 90.00 90.00
Space group P4/mmm (No. 123)
Asymmetric unit:
In  0.000  0.000  0.000 (multiplicity 1)
Ni  0.500  0.500  0.500 (multiplicity 1)
S  0.000  0.000  0.500 (multiplicity 1)
Cl  0.000  0.500  0.000 (multiplicity 2)

---

It is i that is most stable; the runner-up trails by 526 meV per atom.

---

i | A geometry-optimized In2ClO structure, computed with GGA-PBE.

Results
M_tot: 0.00 μB per atom
N(E_F): 9.48 states/eV/cell
crystal system: tetragonal

Lattice parameters (Å, degrees): 7.032 7.032 7.540 90.00 90.00 90.00
Space group I-42d (No. 122)
Asymmetric unit:
In  0.167  0.250  0.125 (multiplicity 8)
Cl  0.000  0.000  0.500 (multiplicity 4)
O  0.000  0.000  0.000 (multiplicity 4)

---

ii | A geometry-optimized In2ClO structure, computed with GGA-PBE.

Results
M_tot: 0.00 μB per atom
N(E_F): 16.81 states/eV/cell
crystal system: cubic

Lattice parameters (Å, degrees): 6.920 6.920 6.920 90.00 90.00 90.00
Space group Fm-3m (No. 225)
Asymmetric unit:
In  0.250  0.250  0.250 (multiplicity 8)
Cl  0.000  0.000  0.000 (multiplicity 4)
O  0.000  0.000  0.500 (multiplicity 4)

---

It is i that is most stable; the runner-up trails by 449 meV per atom.

---

i | A geometry-optimized InS2ClO structure, computed with GGA-PBE.

Results
M_tot: 0.04 μB per atom
N(E_F): 2.97 states/eV/cell
crystal system: tetragonal

Lattice parameters (Å, degrees): 3.998 3.998 6.034 90.00 90.00 90.00
Space group P4/mmm (No. 123)
Asymmetric unit:
In  0.000  0.000  0.000 (multiplicity 1)
S  0.000  0.500  0.500 (multiplicity 2)
Cl  0.500  0.500  0.000 (multiplicity 1)
O  0.500  0.500  0.500 (multiplicity 1)

---

ii | A geometry-optimized InS2ClO structure, computed with GGA-PBE.

Results
M_tot: 0.81 μB per atom
N(E_F): 5.99 states/eV/cell
crystal system: tetragonal

Lattice parameters (Å, degrees): 5.203 5.203 5.157 90.00 90.00 90.00
Space group P4/mmm (No. 123)
Asymmetric unit:
In  0.000  0.000  0.000 (multiplicity 1)
S  0.000  0.500  0.000 (multiplicity 2)
Cl  0.000  0.000  0.500 (multiplicity 1)
O  0.500  0.500  0.500 (multiplicity 1)

---

It is i that is most stable; the runner-up trails by 537 meV per atom.

---

i | A geometry-optimized InOs3Cl structure, computed with GGA-PBE.

Results
M_tot: 1.46 μB per atom
N(E_F): 6.19 states/eV/cell
crystal system: cubic

Lattice parameters (Å, degrees): 5.019 5.019 5.019 90.00 90.00 90.00
Space group Pm-3m (No. 221)
Asymmetric unit:
In  0.000  0.000  0.000 (multiplicity 1)
Os  0.000  0.000  0.500 (multiplicity 3)
Cl  0.500  0.500  0.500 (multiplicity 1)

---

ii | A geometry-optimized InOs3Cl structure, computed with GGA-PBE.

Results
M_tot: 0.00 μB per atom
N(E_F): 5.98 states/eV/cell
crystal system: cubic

Lattice parameters (Å, degrees): 4.415 4.415 4.415 90.00 90.00 90.00
Space group Pm-3m (No. 221)
Asymmetric unit:
In  0.000  0.000  0.000 (multiplicity 1)
Os  0.000  0.500  0.500 (multiplicity 3)
Cl  0.500  0.500  0.500 (multiplicity 1)

---

It is ii that is most stable; the runner-up trails by 1246 meV per atom.

---

i | A geometry-optimized InPOsCl2 structure, computed with GGA-PBE.

Results
M_tot: 0.78 μB per atom
N(E_F): 4.47 states/eV/cell
crystal system: tetragonal

Lattice parameters (Å, degrees): 4.924 4.924 5.372 90.00 90.00 90.00
Space group P4/mmm (No. 123)
Asymmetric unit:
In  0.000  0.000  0.000 (multiplicity 1)
P  0.000  0.000  0.500 (multiplicity 1)
Os  0.500  0.500  0.500 (multiplicity 1)
Cl  0.000  0.500  0.000 (multiplicity 2)

---

ii | A geometry-optimized InPOsCl2 structure, computed with GGA-PBE.

Results
M_tot: 0.00 μB per atom
N(E_F): 2.04 states/eV/cell
crystal system: tetragonal

Lattice parameters (Å, degrees): 5.038 5.038 4.447 90.00 90.00 90.00
Space group P4/mmm (No. 123)
Asymmetric unit:
In  0.000  0.000  0.000 (multiplicity 1)
P  0.500  0.500  0.000 (multiplicity 1)
Os  0.500  0.500  0.500 (multiplicity 1)
Cl  0.000  0.500  0.500 (multiplicity 2)

---

It is ii that is most stable; the runner-up trails by 1104 meV per atom.

---

i | A geometry-optimized InP3Cl structure, computed with GGA-PBE.

Results
M_tot: 0.03 μB per atom
N(E_F): 7.77 states/eV/cell
crystal system: cubic

Lattice parameters (Å, degrees): 5.100 5.100 5.100 90.00 90.00 90.00
Space group Pm-3m (No. 221)
Asymmetric unit:
In  0.000  0.000  0.000 (multiplicity 1)
P  0.000  0.000  0.500 (multiplicity 3)
Cl  0.500  0.500  0.500 (multiplicity 1)

---

ii | A geometry-optimized InP3Cl structure, computed with GGA-PBE.

Results
M_tot: 0.00 μB per atom
N(E_F): 3.57 states/eV/cell
crystal system: cubic

Lattice parameters (Å, degrees): 4.689 4.689 4.689 90.00 90.00 90.00
Space group Pm-3m (No. 221)
Asymmetric unit:
In  0.000  0.000  0.000 (multiplicity 1)
P  0.000  0.500  0.500 (multiplicity 3)
Cl  0.500  0.500  0.500 (multiplicity 1)

---

It is ii that is most stable; the runner-up trails by 128 meV per atom.

---

i | A geometry-optimized InPCl2 structure, computed with GGA-PBE.

Results
M_tot: 0.00 μB per atom
N(E_F): 3.47 states/eV/cell
crystal system: trigonal

Lattice parameters (Å, degrees): 3.3920 3.3920 28.4654 90.00 90.00 120.00
Space group R-3m (No. 166, hexagonal axes)
Asymmetric unit:
In  0.0000  0.0000  0.0000 (multiplicity 3)
P  0.0000  0.0000  0.5000 (multiplicity 3)
Cl  0.0000  0.0000  0.4196 (multiplicity 6)

---

ii | A geometry-optimized InPCl2 structure, computed with GGA-PBE.

Results
M_tot: 0.46 μB per atom
N(E_F): 9.04 states/eV/cell
crystal system: cubic

Lattice parameters (Å, degrees): 6.996 6.996 6.996 90.00 90.00 90.00
Space group F-43m (No. 216)
Asymmetric unit:
In  0.000  0.000  0.000 (multiplicity 4)
P  0.250  0.250  0.250 (multiplicity 4)
Cl  0.000  0.000  0.500 (multiplicity 4)
Cl  0.250  0.250  0.750 (multiplicity 4)

---

It is i that is most stable; the runner-up trails by 328 meV per atom.